## Mg7Zn4In (PBE-GGA)

Data for an optimized crystal structure of Mg7Zn4In.

a b c (Å): 5.3853 8.0285 7.0924
angles (deg): 67.05 67.69 70.40
Last column: nearest neighbours and their distance in Å.
Fractional positions:
Mg 0.8037 0.8718 0.5207  1 Zn 2.95, 7 Mg 3.18-3.28, 1 In 3.26
Mg 0.1963 0.1282 0.4793  1 Zn 2.95, 7 Mg 3.18-3.28, 1 In 3.26
Mg 0.0805 0.5785 0.2605  3 Zn 2.69-2.93, 1 Mg 3.01
Mg 0.9195 0.4215 0.7395  3 Zn 2.69-2.93, 1 Mg 3.01
Mg 0.2631 0.7069 0.7670  4 Zn 2.69-3.00
Mg 0.5000 0.0000 0.0000  4 Zn 2.65-2.88, 2 In 2.69
Mg 0.7369 0.2931 0.2330  4 Zn 2.69-3.00
Zn 0.5223 0.3243 0.6312  2 Zn 2.62-2.70, 2 Mg 2.69-2.88
Zn 0.4777 0.6757 0.3688  2 Zn 2.62-2.70, 2 Mg 2.69-2.88
Zn 0.6834 0.6553 0.9780  1 Zn 2.62, 3 Mg 2.65-2.75
Zn 0.3166 0.3447 0.0220  1 Zn 2.62, 3 Mg 2.65-2.75
In 0.0000 0.0000 0.0000  2 Mg 2.69

Computed properties:
The calculation puts the spin magnetization at 0.00 Bohr magnetons per cell. Its energy of formation from the pure elements is 1.2 kcal/mol of atoms.


## TbHo2CdAu4 (PBE-GGA)

Data for an optimized crystal structure of TbHo2CdAu4.

a b c (Å): 5.0053 5.0053 8.7430
angles (deg): 73.37 73.37 60.00
Last column: nearest neighbours and their distance in Å.
Fractional positions:
Tb 0.5000 0.5000 0.5000  8 Au 2.99-3.01
Ho 0.7430 0.7430 0.7709  8 Au 2.99-3.21
Ho 0.2570 0.2570 0.2291  8 Au 2.99-3.21
Cd 0.0000 0.0000 0.0000  8 Au 3.11-3.28, 6 Ho 3.45
Au 0.3793 0.3793 0.8622  4 Ho 2.99-3.03, 1 Tb 2.99, 3 Cd 3.11
Au 0.8676 0.8676 0.3972  3 Tb 3.01, 4 Ho 3.08-3.21, 1 Cd 3.28, 3 Au 3.35
Au 0.1324 0.1324 0.6028  3 Tb 3.01, 4 Ho 3.08-3.21, 1 Cd 3.28, 3 Au 3.35
Au 0.6207 0.6207 0.1378  4 Ho 2.99-3.03, 1 Tb 2.99, 3 Cd 3.11

Computed properties:
The calculation puts the spin magnetization at 0.00 Bohr magnetons per cell. Its energy of formation from the pure elements is -17.9 kcal/mol of atoms.


## InH3Br (PBE-GGA)

Data for an optimized crystal structure of InH3Br.

a b c (Å): 4.1241 4.1241 4.1241
angles (deg): 90.00 90.00 90.00
Last column: nearest neighbours and their distance in Å.
Fractional positions:
H 0.0000 0.5000 0.0000  2 Br 2.06
H 0.0000 0.0000 0.5000  2 Br 2.06
H 0.5000 0.0000 0.0000  2 Br 2.06
Br 0.0000 0.0000 0.0000  6 H 2.06
In 0.5000 0.5000 0.5000  12 H 2.92

Computed properties:
The calculation puts the spin magnetization at 0.00 Bohr magnetons per cell. The total DFT energy (no corrections) comes out at -10.138 eV/cell.


## La5Al2Pb5 (PBE-GGA)

Data for an optimized crystal structure of La5Al2Pb5.

a b c (Å): 4.6546 8.6913 9.8221
angles (deg): 83.78 76.29 74.47
Last column: nearest neighbours and their distance in Å.
Fractional positions:
La 0.5000 0.5000 0.5000  4 Al 3.40, 6 Pb 3.43-3.53
La 0.3861 0.3012 0.9266  3 Al 3.34-3.41, 7 Pb 3.43-3.61
La 0.2991 0.0691 0.3328  5 Pb 3.30-3.37, 1 Al 3.49
La 0.7009 0.9309 0.6672  5 Pb 3.30-3.37, 1 Al 3.49
La 0.6139 0.6988 0.0734  3 Al 3.34-3.41, 7 Pb 3.43-3.61
Al 0.8596 0.5224 0.7584  3 Pb 2.77-2.79
Al 0.1404 0.4776 0.2416  3 Pb 2.77-2.79
Pb 0.9356 0.7771 0.3517  1 Al 2.77
Pb 0.2483 0.6949 0.8084  2 Al 2.79
Pb 0.7517 0.3051 0.1916  2 Al 2.79
Pb 0.0644 0.2229 0.6483  1 Al 2.77
Pb 0.0000 0.0000 0.0000  2 Pb 3.21, 4 La 3.48

Computed properties:
The calculation puts the spin magnetization at 0.00 Bohr magnetons per cell. Its energy of formation from the pure elements is -11.9 kcal/mol of atoms.